A.
## BaTi (PBE)

Data for a geometry-optimized BaTi structure.

The structure belongs to space group I4/m (No. 87); the cell edges are 12.050, 12.050 and 3.824 Å and the angles 90.00°, 90.00° and 90.00°. Symmetry generates all atoms from Ba at (0.130, 0.824, 0.000) and Ti at (0.016, 0.388, 0.500).

B.
## BaTi (PBE)

Data for a geometry-optimized BaTi structure.

The structure belongs to space group Imm2 (No. 44); the cell edges are 3.655, 14.576 and 8.103 Å and the angles 90.00°, 90.00° and 90.00°. Symmetry generates all atoms from Ba at (0.000, 0.000, 0.000), Ba at (0.000, 0.281, 0.184), Ti at (0.000, 0.000, 0.546) and Ti at (0.000, 0.416, 0.845).

C.
## BaTi (PBE)

Data for a geometry-optimized BaTi structure.

The structure belongs to space group Fddd (No. 70, origin choice 2); the cell edges are 6.529, 10.717 and 16.522 Å and the angles 90.00°, 90.00° and 90.00°. Symmetry generates all atoms from Ba at (0.125, 0.292, 0.125) and Ti at (0.125, 0.125, 0.560).

Energies relative to the minimum, kJ/mol of atoms: A 0.0; B 14.4; C 33.6